No. 1
Entry from Alexandria: crystalline Rb3B2S4 at its relaxed geometry (PBE).

Results
formation energy (no corrections) = -762 meV/atom

abc: 12.3301 9.6655 9.9165
angles: 90.00 105.28 90.00
With the nearest neighbours (Å) after each atom.
Space group C2/c (No. 15)
Symmetry-distinct sites (fractional):
Rb: 0.0000 0.0334 0.2500  4 S 3.38-3.46, 2 B 3.55
Rb: 0.1583 0.3618 0.6556  5 S 3.28-3.64, 2 B 3.30-3.53
B: 0.2217 0.1261 0.0048  3 S 1.79-1.88
S: 0.1393 0.2917 0.9927  2 B 1.88
S: 0.1933 0.0419 0.5636  1 B 1.79

---

No. 2
Entry from Alexandria: crystalline RbB2S4 at its relaxed geometry (PBE).

Results
formation energy (no corrections) = 429 meV/atom

abc: 6.5255 6.5255 12.3337
angles: 90.00 90.00 90.00
With the nearest neighbours (Å) after each atom.
Space group I4/mmm (No. 139)
Symmetry-distinct sites (fractional):
Rb: 0.0000 0.0000 0.0000  4 S 3.26
B: 0.0000 0.0000 0.4343  1 B 1.62, 1 S 1.63
S: 0.0000 0.0000 0.3020  1 B 1.63
S: 0.0000 0.5000 0.0000  2 Rb 3.26, 4 B 3.36

---

No. 3
Entry from Alexandria: crystalline Rb3BS3 at its relaxed geometry (PBE).

Results
formation energy (no corrections) = -1036 meV/atom

abc: 10.6262 6.4705 13.2354
angles: 90.00 105.19 90.00
With the nearest neighbours (Å) after each atom.
Space group P2_1/c (No. 14)
Symmetry-distinct sites (fractional):
Rb: 0.0240 0.2091 0.3587  6 S 3.34-3.54, 1 B 3.49
Rb: 0.2474 0.6371 0.4918  6 S 3.32-3.63, 1 B 3.60
Rb: 0.4068 0.0643 0.3071  6 S 3.30-3.69, 1 B 3.32
B: 0.2346 0.1139 0.6286  3 S 1.84
S: 0.0941 0.2158 0.1245  1 B 1.84
S: 0.2885 0.5774 0.2342  1 B 1.84
S: 0.3248 0.1400 0.5284  1 B 1.84

---

No. 4
Entry from Alexandria: crystalline RbBS4 at its relaxed geometry (PBE).

Results
formation energy (no corrections) = -469 meV/atom

abc: 6.8711 7.5501 8.5395
angles: 75.25 89.95 62.94
With the nearest neighbours (Å) after each atom.
Space group P-1 (No. 2)
Symmetry-distinct sites (fractional):
Rb: 0.2271 0.0453 0.1845  5 S 3.44-3.62, 1 B 3.75
B: 0.4097 0.6808 0.9233  3 S 1.75-1.87
S: 0.2619 0.6054 0.5544  1 S 1.90
S: 0.2788 0.9429 0.8127  1 B 1.75
S: 0.2920 0.5001 0.0003  2 B 1.87
S: 0.3674 0.3944 0.4459  1 S 1.90

---

No. 5
Entry from Alexandria: crystalline Rb2BS at its relaxed geometry (PBE).

Results
formation energy (no corrections) = 806 meV/atom

abc: 5.4520 5.4520 20.4553
angles: 90.00 90.00 90.00
With the nearest neighbours (Å) after each atom.
Space group I-42d (No. 122)
Symmetry-distinct sites (fractional):
Rb: 0.2449 0.2500 0.1250  2 S 3.19, 2 B 3.21
B: 0.0000 0.0000 0.5000  4 Rb 3.21
S: 0.0000 0.0000 0.0000  4 Rb 3.19

---

No. 6
Entry from Alexandria: crystalline Rb3BS3 at its relaxed geometry (PBE).

Results
formation energy (no corrections) = -922 meV/atom

abc: 9.3508 6.5682 9.3509
angles: 90.00 119.79 90.00
With the nearest neighbours (Å) after each atom.
Space group P2_1/m (No. 11)
Symmetry-distinct sites (fractional):
Rb: 0.1194 0.2500 0.3104  4 S 3.32-3.35
Rb: 0.3091 0.7500 0.1194  4 S 3.32-3.35
Rb: 0.3112 0.7500 0.6901  4 S 3.32-3.35
B: 0.1671 0.2500 0.8329  3 S 1.85
S: 0.0603 0.7500 0.2812  1 B 1.85
S: 0.2798 0.2500 0.0603  1 B 1.85
S: 0.2818 0.2500 0.7195  1 B 1.85

---

No. 7
Entry from Alexandria: crystalline RbBS3 at its relaxed geometry (PBE).

Results
formation energy (no corrections) = 410 meV/atom

abc: 4.5201 4.5201 4.5201
angles: 90.00 90.00 90.00
With the nearest neighbours (Å) after each atom.
Space group Pm-3m (No. 221)
Symmetry-distinct sites (fractional):
Rb: 0.0000 0.0000 0.0000  12 S 3.20
B: 0.5000 0.5000 0.5000  6 S 2.26
S: 0.0000 0.5000 0.5000  2 B 2.26

---

No. 8
Entry from Alexandria: crystalline RbB2S4 at its relaxed geometry (PBE).

Results
formation energy (no corrections) = -369 meV/atom

abc: 5.1961 9.1530 10.1959
angles: 82.75 75.59 79.04
With the nearest neighbours (Å) after each atom.
Space group P1 (No. 1)
Symmetry-distinct sites (fractional):
Rb: 0.0000 0.0000 0.0000  7 S 3.49-3.77, 3 B 3.65-3.83
Rb: 0.2020 0.5838 0.5178  3 B 3.46-3.79, 6 S 3.50-3.69
B: 0.0323 0.2270 0.2638  2 S 1.66-1.70
B: 0.5786 0.7226 0.2134  2 S 1.67
B: 0.5844 0.2810 0.7038  2 S 1.66-1.70
B: 0.6060 0.7920 0.7576  2 S 1.67-1.68
S: 0.2772 0.3143 0.8022  1 B 1.66
S: 0.3312 0.2246 0.1575  1 B 1.66
S: 0.3726 0.8625 0.6702  1 B 1.67
S: 0.3890 0.6793 0.1178  1 B 1.67
S: 0.7273 0.2279 0.3732  1 B 1.70
S: 0.7617 0.7669 0.3113  1 B 1.67
S: 0.8388 0.7206 0.8470  1 B 1.68
S: 0.8935 0.2517 0.5972  1 B 1.70

---

No. 9
Entry from Alexandria: crystalline RbB4S7 at its relaxed geometry (PBE).

Results
formation energy (no corrections) = -452 meV/atom

abc: 13.5063 5.6715 5.3619
angles: 90.00 90.00 90.00
With the nearest neighbours (Å) after each atom.
Space group Pmn2_1 (No. 31)
Symmetry-distinct sites (fractional):
Rb: 0.0000 0.2047 0.0000  12 S 3.27-3.58
B: 0.1265 0.6672 0.5935  4 S 1.90-1.97
B: 0.2483 0.1752 0.5695  4 S 1.89-2.03
S: 0.0000 0.8040 0.4865  2 B 1.96
S: 0.1299 0.7084 0.9485  2 B 1.89-1.92
S: 0.1324 0.3478 0.4865  2 B 1.90
S: 0.2364 0.8494 0.4459  3 B 1.97-2.03

---

No. 10
Entry from Alexandria: crystalline RbBS3 at its relaxed geometry (PBE).

Results
formation energy (no corrections) = 2092 meV/atom

abc: 6.0297 6.0297 6.0297
angles: 90.00 90.00 90.00
With the nearest neighbours (Å) after each atom.
Space group Pm-3m (No. 221)
Symmetry-distinct sites (fractional):
Rb: 0.0000 0.0000 0.0000  6 S 3.01
B: 0.5000 0.5000 0.5000  12 S 4.26
S: 0.0000 0.0000 0.5000  2 Rb 3.01

---

No. 11
Entry from Alexandria: crystalline RbBS at its relaxed geometry (PBE).

Results
formation energy (no corrections) = -135 meV/atom

abc: 7.6660 6.6147 6.5422
angles: 90.00 125.62 90.00
With the nearest neighbours (Å) after each atom.
Space group C2/m (No. 12)
Symmetry-distinct sites (fractional):
Rb: 0.1861 0.0000 0.3741  4 S 3.22, 2 B 3.42-3.43, 2 Rb 3.57
B: 0.1064 0.5000 0.9995  1 B 1.63
S: 0.2500 0.2500 0.0000  2 B 1.99

---

No. 12
Entry from Alexandria: crystalline RbB2Sb2S6 at its relaxed geometry (PBE).

Results
formation energy (no corrections) = -428 meV/atom

abc: 6.3047 7.5478 7.8762
angles: 74.57 72.05 72.63
With the nearest neighbours (Å) after each atom.
Space group P-1 (No. 2)
Symmetry-distinct sites (fractional):
Rb: 0.0000 0.0000 0.0000  6 S 3.37-3.55
B: 0.3158 0.7317 0.4970  3 S 1.79-1.84
Sb: 0.2722 0.2948 0.3738  3 S 2.45-2.72
S: 0.1302 0.6995 0.3753  1 B 1.83
S: 0.2851 0.6713 0.7375  1 B 1.79
S: 0.4224 0.1925 0.6451  1 B 1.84

---

DFT total energy list, top to bottom, in eV per cell: -158.49, -55.66, -116.85, -53.93, -38.07, -56.84, -17.98, -66.84, -123.99, -9.57, -48.71, -52.05